CaTbFeO4 | PBE+U | optimized geometry

Cell and atoms, written as extended XYZ:
```
14
Lattice="6.410 0.000 0.000 3.205 5.697 0.031 3.205 1.765 5.417" Properties=species:S:1:pos:R:3 pbc="T T T"
Fe 6.410 3.730 4.787
Fe 6.410 3.733 0.661
O 6.410 5.571 4.146
O 3.205 1.915 1.319
O 9.616 5.547 4.129
O 8.026 2.781 4.094
O 4.795 2.781 4.094
O 4.795 4.681 1.354
O 8.026 4.681 1.354
O 6.410 1.892 1.302
Tb 0.000 0.000 0.000
Tb 3.205 3.731 2.724
Ca 1.603 0.883 2.708
Ca 4.808 0.883 2.708
```

## Properties
- Symmetry: Imma, No. 74
- Calculated density: 5.4 g cm⁻³
- Energy: -99.7 eV/cell